1.
{
  "formula": "MgAlCl2",
  "functional": "PBE-GGA",
  "state": "optimized geometry",
  "lattice": [[0.119, -7.288, 0.928], [3.142, -6.632, -0.361], [2.517, -2.071, 4.851]],
  "species": ["Al", "Cl", "Cl", "Mg"],
  "frac_coords": [[0.885, 0.885, 0.803], [0.935, 0.935, 0.147], [0.159, 0.159, 0.219], [0.521, 0.521, 0.331]],
  "volume_a3_per_atom": 30.81,
  "final_energy_ev_per_atom": -3.071,
  "de_polymorph_mev_per_atom": 157,
  "e_form_raw_ev_per_atom": -0.813,
  "total_magnetization_mub_per_atom": 0.000,
  "crystal_system": "monoclinic",
  "sg": "Cm"
}

2.
{
  "formula": "MgAlCl2",
  "functional": "PBE-GGA",
  "state": "optimized geometry",
  "lattice": [[-0.876, -4.649, -3.786], [5.301, -2.741, -1.045], [-4.327, 1.388, 4.008]],
  "species": ["Al", "Cl", "Cl", "Mg"],
  "frac_coords": [[0.250, 0.750, 0.500], [0.924, 0.924, 0.000], [0.576, 0.576, 0.000], [0.750, 0.250, 0.500]],
  "volume_a3_per_atom": 25.78,
  "final_energy_ev_per_atom": -3.006,
  "de_polymorph_mev_per_atom": 222,
  "e_form_raw_ev_per_atom": -0.748,
  "total_magnetization_mub_per_atom": 0.000,
  "crystal_system": "orthorhombic",
  "sg": "Immm"
}